Pm5PrCd4: optimized geometry, PBE.

As for the formation energy: -0.250 eV per atom. For the electronic total energy, the calculation gives -3.469 eV per atom. For the total moment, the calculation gives 1.201 μB/f.u.

a = 3.790 Å, b = 3.790 Å, c = 20.615 Å
α = 90.00°, β = 90.00°, γ = 90.00°
Each line ends with the local moment (μB).
Fractional coordinates of all 10 atoms:
Pr1 0.000 0.000 0.000  0.00
Pm1 0.500 0.500 0.123  0.03
Pm2 0.500 0.500 0.688  0.17
Pm3 0.500 0.500 0.500  0.17
Pm4 0.500 0.500 0.312  0.17
Pm5 0.500 0.500 0.877  0.03
Cd1 0.000 0.000 0.595  0.01
Cd2 0.000 0.000 0.216  0.01
Cd3 0.000 0.000 0.784  0.01
Cd4 0.000 0.000 0.405  0.01